Entry from Alexandria via LeMat-Bulk: an optimized crystal structure of Hf9In2Pb (PBE).

Results
- Total moment: 0.0 μB/f.u.
- Total energy: -8.32 eV per atom
- ΔH_f (0 K): -0.092 eV/atom
- DOS at the Fermi energy: 0.944 states/eV per atom

Cell lengths 4.425, 4.425, 13.438 Å; angles 90.00, 90.00, 90.00 degrees
Atoms (fractional coordinates):
Hf1 0.500 0.500 0.664
Hf2 0.500 0.000 0.829
Hf3 0.000 0.500 0.829
Hf4 0.000 0.500 0.171
Hf5 0.000 0.500 0.500
Hf6 0.500 0.500 0.000
Hf7 0.500 0.500 0.336
Hf8 0.500 0.000 0.171
Hf9 0.500 0.000 0.500
Pb1 0.000 0.000 0.000
In1 0.000 0.000 0.335
In2 0.000 0.000 0.665